No. 1
Computed, not measured: crystalline BeIn2Br at its relaxed geometry at the PBE level of DFT.

Cell lengths 10.1301, 10.1301, 3.4122 Å; angles 99.48, 99.48, 18.28 degrees
Atoms (fractional coordinates):
Be (0.0000, 0.0000, 0.0000)
In (0.2802, 0.2802, 0.7874)
In (0.4153, 0.4153, 0.4188)
Br (0.5754, 0.5754, 0.0749)

Formation energy without anion corrections   0.001 eV per atom
Symmetry   Cm
Energy above the most stable polymorph in this dataset   0 meV/atom
V   108.3 Å³/cell


No. 2
Computed, not measured: crystalline TcAs3Pt at its relaxed geometry at the PBE level of DFT.

Cell lengths 4.7428, 4.7428, 4.7428 Å; angles 90.00, 90.00, 90.00 degrees
Atoms (fractional coordinates):
Tc (0.0000, 0.0000, 0.0000)
As (0.0000, 0.0000, 0.5000)
As (0.0000, 0.5000, 0.0000)
As (0.5000, 0.0000, 0.0000)
Pt (0.5000, 0.5000, 0.5000)

Symmetry   Pm-3m
Energy above the most stable polymorph in this dataset   0 meV/atom
ΔE_f   0.66 eV/atom
V   106.7 Å³/cell


No. 3
Computed, not measured: crystalline Ag5Br4F2 at its relaxed geometry at the PBE level of DFT.

Cell lengths 7.2704, 7.2704, 6.8853 Å; angles 101.47, 101.47, 55.11 degrees
Atoms (fractional coordinates):
Ag (0.0000, 0.0000, 0.0000)
Ag (0.1541, 0.6089, 0.4309)
Ag (0.3911, 0.8459, 0.5691)
Ag (0.6089, 0.1541, 0.4309)
Ag (0.8459, 0.3911, 0.5691)
Br (0.1852, 0.1852, 0.3205)
Br (0.4998, 0.4998, 0.2275)
Br (0.5002, 0.5002, 0.7725)
Br (0.8148, 0.8148, 0.6795)
F (0.0945, 0.0945, 0.7716)
F (0.9055, 0.9055, 0.2284)

Formation energy without anion corrections   -0.522 eV per atom
Symmetry   C2/m
V   290.9 Å³/cell


No. 4
Computed, not measured: crystalline Cr2TcTe at its relaxed geometry at the PBE level of DFT.

Cell lengths 2.9848, 3.9497, 5.2706 Å; angles 90.00, 90.08, 90.00 degrees
Atoms (fractional coordinates):
Cr (0.0021, 0.0000, 0.1983)
Cr (0.9979, 0.0000, 0.8017)
Tc (0.5000, 0.5000, 0.0000)
Te (0.5000, 0.5000, 0.5000)

Formation energy without anion corrections   0.444 eV per atom
Symmetry   P2/m
V   62.1 Å³/cell


No. 5
Computed, not measured: crystalline Sm4GeTe2S at its relaxed geometry at the PBE level of DFT.

Cell lengths 8.5993, 8.5993, 8.5993 Å; angles 120.08, 119.94, 89.99 degrees
Atoms (fractional coordinates):
Sm (0.2598, 0.2394, 0.4796)
Sm (0.2598, 0.7802, 0.0204)
Sm (0.2613, 0.2384, 0.0229)
Sm (0.2845, 0.7616, 0.5229)
Sm (0.7155, 0.2384, 0.4771)
Sm (0.7387, 0.7616, 0.9771)
Sm (0.7402, 0.2198, 0.9796)
Sm (0.7402, 0.7606, 0.5204)
Ge (0.0000, 0.0000, 0.0000)
Ge (0.5000, 0.0000, 0.5000)
Te (0.0000, 0.0000, 0.5000)
Te (0.0000, 0.5000, 0.0000)
Te (0.0000, 0.5000, 0.5000)
Te (0.5000, 0.5000, 0.0000)
S (0.5000, 0.0000, 0.0000)
S (0.5000, 0.5000, 0.5000)

Formation energy without anion corrections   -1.483 eV per atom
Symmetry   Imma
V   449.6 Å³/cell


No. 6
Computed, not measured: crystalline Zr2FeCoH at its relaxed geometry at the PBE level of DFT.

Cell lengths 4.4927, 4.4927, 3.3370 Å; angles 90.00, 90.00, 90.00 degrees
Atoms (fractional coordinates):
Zr (0.0000, 0.5000, 0.0000)
Zr (0.5000, 0.0000, 0.0000)
Fe (0.0000, 0.0000, 0.5000)
Co (0.5000, 0.5000, 0.5000)
H (0.5000, 0.5000, 0.0000)

Symmetry   P4/mmm
Energy above the most stable polymorph in this dataset   0 meV/atom
V   67.4 Å³/cell


Among the records above, which one has the lowest V? Cr2TcTe


Which value of V does entry 5 give? 449.6 Å³/cell


The lowest V belongs to which entry? Cr2TcTe


What is the V in the second record? 106.7 Å³/cell